The following is a DFT calculation (GGA-PBE) of As2PdI8 after structural relaxation.

Properties
Formation energy (no corrections)   -0.1067 eV/atom
Total DFT energy (no corrections)   -28.1 eV/cell

Cell lengths 9.306, 7.857, 7.857 Å; angles 72.57, 83.45, 83.45 degrees
Fractional coordinates of all 11 atoms:
I 0.424 0.649 0.649
Pd 0.000 0.000 0.000
I 0.667 0.880 0.880
As 0.625 0.142 0.142
I 0.860 0.323 0.916
As 0.375 0.858 0.858
I 0.333 0.120 0.120
I 0.140 0.677 0.084
I 0.140 0.084 0.677
I 0.576 0.351 0.351
I 0.860 0.916 0.323